Record 1
MnCr2As | PBE-GGA | optimized geometry

Cell lengths 9.2096, 9.2096, 9.2096 Å; angles 157.92, 157.92, 31.42 degrees
Fractional positions:
Mn: 0.0000 0.0000 0.0000
Mn: 0.7500 0.2500 0.5000
Cr: 0.1736 0.6250 0.0486
Cr: 0.3750 0.4236 0.5486
Cr: 0.5764 0.1250 0.9514
Cr: 0.8750 0.8264 0.4514
As: 0.2500 0.7500 0.5000
As: 0.5000 0.5000 0.0000

## Properties
* Fermi-level density of states: 9.518 states/eV per cell
* final energy: -7.821 eV/atom
* ΔE_f: 446 meV per atom

Record 2
Nd6SbSe5 | PBE-GGA | optimized geometry

Cell lengths 7.4128, 7.4128, 7.4391 Å; angles 99.55, 99.55, 120.09 degrees
Fractional positions:
Nd: 0.0728 0.4126 0.2406
Nd: 0.2440 0.2440 0.7554
Nd: 0.4126 0.0728 0.2406
Nd: 0.5874 0.9272 0.7594
Nd: 0.7560 0.7560 0.2446
Nd: 0.9272 0.5874 0.7594
Sb: 0.5000 0.5000 0.5000
Se: 0.0000 0.0000 0.0000
Se: 0.1677 0.8323 0.5000
Se: 0.3376 0.6624 0.0000
Se: 0.6624 0.3376 0.0000
Se: 0.8323 0.1677 0.5000

## Properties
* Fermi-level density of states: 6.099 states/eV per cell
* final energy: -5.908 eV/atom

Record 3
CsZnBi | PBE-GGA | optimized geometry

Cell lengths 7.4452, 7.4452, 7.4452 Å; angles 147.53, 147.53, 46.57 degrees
Fractional positions:
Cs: 0.0000 0.0000 0.0000
Zn: 0.2543 0.2543 0.0000
Bi: 0.7216 0.7216 0.0000

## Properties
* Fermi-level density of states: 1.279 states/eV per cell
* final energy: -2.060 eV/atom
* ΔE_f: -57 meV per atom